1.
A PBEsol-optimized structure of KZrSnF2. Source: Alexandria via LeMat-Bulk, functional SCAN.

Output
uncorrected formation energy: -1.7824 eV per atom

abc: 4.417 4.417 5.692
angles: 90.00 90.00 90.00
Positions (direct):
Sn  0.000  0.000  0.500
F  0.500  0.000  0.000
F  0.000  0.500  0.000
K  0.500  0.500  0.500
Zr  0.000  0.000  0.000


2.
A PBEsol-optimized structure of KZrSnF7. Source: Alexandria via LeMat-Bulk, functional SCAN.

Output
uncorrected formation energy: -3.3616 eV per atom

abc: 5.909 8.364 12.393
angles: 90.00 90.00 90.00
Positions (direct):
F  0.123  0.500  0.916
F  0.843  0.766  0.891
F  0.157  0.766  0.109
F  0.906  0.000  0.759
F  0.843  0.234  0.891
F  0.502  0.000  0.195
F  0.498  0.500  0.695
F  0.500  0.356  0.500
F  0.873  0.500  0.427
F  0.502  0.500  0.305
F  0.094  0.500  0.259
F  0.094  0.000  0.241
F  0.157  0.266  0.391
F  0.157  0.734  0.391
F  0.877  0.500  0.084
F  0.906  0.500  0.741
F  0.877  0.000  0.416
F  0.157  0.234  0.109
F  0.127  0.000  0.927
F  0.873  0.000  0.073
F  0.500  0.144  0.000
F  0.843  0.266  0.609
F  0.500  0.856  0.000
F  0.123  0.000  0.584
F  0.498  0.000  0.805
F  0.500  0.644  0.500
F  0.843  0.734  0.609
F  0.127  0.500  0.573
K  0.212  0.750  0.750
K  0.788  0.750  0.250
K  0.788  0.250  0.250
K  0.212  0.250  0.750
Sn  0.242  0.000  0.408
Sn  0.758  0.500  0.908
Sn  0.758  0.000  0.592
Sn  0.242  0.500  0.092
Zr  0.251  0.000  0.086
Zr  0.251  0.500  0.414
Zr  0.749  0.000  0.914
Zr  0.749  0.500  0.586


3.
A PBEsol-optimized structure of KSr2F2. Source: Alexandria via LeMat-Bulk, functional SCAN.

Output
uncorrected formation energy: -2.4232 eV per atom

abc: 4.152 4.152 10.359
angles: 101.56 101.56 90.00
Positions (direct):
F  0.250  0.750  0.500
F  0.750  0.250  0.500
Sr  0.681  0.681  0.362
Sr  0.319  0.319  0.638
K  0.000  0.000  0.000